# 1
Computed, not measured: NbSb3H after structural relaxation at the PBEsol level of DFT.

## Properties
Calculated density = 7.900 g/cm³
SG = Pm-3m (221)
Total DFT energy (no corrections) = -4.97 eV per atom
Total magnetic moment = 0.3869 μB/atom
N(E_F) = 0.7898 states/eV/atom

```
NbSb3H
1.0
4.587 0.000 0.000
0.000 4.587 0.000
0.000 0.000 4.587
Nb Sb H
1 3 1
Direct
0.000 0.000 0.000
0.000 0.500 0.500
0.500 0.000 0.500
0.500 0.500 0.000
0.500 0.500 0.500
```


# 2
Computed, not measured: NbSb2TeH after structural relaxation at the PBEsol level of DFT.

## Properties
Calculated density = 5.184 g/cm³
SG = P4/mmm (123)
Total DFT energy (no corrections) = -4.62 eV per atom
Total magnetic moment = 0.1336 μB/atom
N(E_F) = 0.8368 states/eV/atom

```
NbSb2TeH
1.0
5.313 0.000 0.000
0.000 5.313 0.000
0.000 0.000 5.276
Nb Sb Te H
1 2 1 1
Direct
0.000 0.000 0.000
0.000 0.500 0.000
0.500 0.000 0.000
0.000 0.000 0.500
0.500 0.500 0.500
```


# 3
Computed, not measured: Sc3NbH after structural relaxation at the PBEsol level of DFT.

## Properties
Calculated density = 4.503 g/cm³
SG = Pm-3m (221)
Total DFT energy (no corrections) = -6.88 eV per atom
Total magnetic moment = 0.0001 μB/atom
N(E_F) = 0.8722 states/eV/atom

```
Sc3NbH
1.0
4.386 0.000 0.000
0.000 4.386 0.000
0.000 0.000 4.386
Sc Nb H
3 1 1
Direct
0.000 0.000 0.500
0.000 0.500 0.000
0.500 0.000 0.000
0.500 0.500 0.500
0.000 0.000 0.000
```


# 4
Computed, not measured: Nb2HSe after structural relaxation at the PBEsol level of DFT.

## Properties
Calculated density = 6.967 g/cm³
SG = I-42d (122)
Total DFT energy (no corrections) = -7.14 eV per atom
Total magnetic moment = 0.0000 μB/atom
N(E_F) = 0.6635 states/eV/atom

```
Nb2HSe
1.0
-2.513 2.513 5.015
2.513 -2.513 5.015
2.513 2.513 -5.015
Nb H Se
4 2 2
Direct
0.022 0.625 0.897
0.375 0.272 0.397
0.728 0.125 0.103
0.875 0.978 0.603
0.000 0.000 0.000
0.750 0.250 0.500
0.250 0.750 0.500
0.500 0.500 0.000
```


# 5
Computed, not measured: SrNbH2Se after structural relaxation at the PBEsol level of DFT.

## Properties
Calculated density = 3.753 g/cm³
SG = P4/mmm (123)
Total DFT energy (no corrections) = -4.40 eV per atom
Total magnetic moment = 0.6008 μB/atom
N(E_F) = 0.9877 states/eV/atom

```
SrNbH2Se
1.0
4.016 0.000 0.000
0.000 4.016 0.000
0.000 0.000 7.175
Sr Nb H Se
1 1 2 1
Direct
0.000 0.000 0.000
0.000 0.000 0.500
0.000 0.500 0.500
0.500 0.000 0.500
0.500 0.500 0.000
```


# 6
Computed, not measured: TaNbSi2H after structural relaxation at the PBEsol level of DFT.

## Properties
Calculated density = 4.867 g/cm³
SG = P4/mmm (123)
Total DFT energy (no corrections) = -6.09 eV per atom
Total magnetic moment = 0.0674 μB/atom
N(E_F) = 1.0721 states/eV/atom

```
TaNbSi2H
1.0
4.788 0.000 0.000
0.000 4.788 0.000
0.000 0.000 4.926
Ta Nb Si H
1 1 2 1
Direct
0.000 0.000 0.000
0.000 0.000 0.500
0.000 0.500 0.000
0.500 0.000 0.000
0.500 0.500 0.500
```


# 7
Computed, not measured: Nb3SnH2 after structural relaxation at the PBEsol level of DFT.

## Properties
Calculated density = 8.460 g/cm³
SG = Ama2 (40)
Total DFT energy (no corrections) = -7.50 eV per atom
Total magnetic moment = 0.0000 μB/atom
N(E_F) = 0.3270 states/eV/atom

```
Nb3SnH2
1.0
5.400 0.000 0.000
0.000 3.814 3.807
0.000 -3.814 3.807
Nb Sn H
6 2 4
Direct
0.000 0.000 0.000
0.250 0.482 0.236
0.250 0.484 0.744
0.500 0.000 0.000
0.750 0.236 0.482
0.750 0.744 0.484
0.250 0.989 0.495
0.750 0.495 0.989
0.000 0.490 0.490
0.250 0.743 0.992
0.500 0.490 0.490
0.750 0.992 0.743
```


# 8
Computed, not measured: Nb3SnH after structural relaxation at the PBEsol level of DFT.

## Properties
Calculated density = 8.740 g/cm³
SG = Ama2 (40)
Total DFT energy (no corrections) = -8.29 eV per atom
Total magnetic moment = 0.0000 μB/atom
N(E_F) = 0.3988 states/eV/atom

```
Nb3SnH
1.0
5.316 0.000 0.000
0.000 3.779 3.768
0.000 -3.779 3.768
Nb Sn H
6 2 2
Direct
0.000 0.000 0.000
0.250 0.262 0.517
0.250 0.754 0.519
0.500 0.000 0.000
0.750 0.517 0.262
0.750 0.519 0.754
0.250 0.506 0.012
0.750 0.012 0.506
0.250 0.007 0.261
0.750 0.261 0.007
```


# 9
Computed, not measured: Ta2NbH2 after structural relaxation at the PBEsol level of DFT.

## Properties
Calculated density = 13.051 g/cm³
SG = I4/mmm (139)
Total DFT energy (no corrections) = -8.68 eV per atom
Total magnetic moment = 0.0000 μB/atom
N(E_F) = 0.4003 states/eV/atom

```
Ta2NbH2
1.0
-1.687 1.687 5.106
1.687 -1.687 5.106
1.687 1.687 -5.106
Ta Nb H
2 1 2
Direct
0.154 0.154 0.000
0.846 0.846 0.000
0.500 0.500 0.000
0.250 0.750 0.500
0.750 0.250 0.500
```


# 10
Computed, not measured: TaNb2H after structural relaxation at the PBEsol level of DFT.

## Properties
Calculated density = 9.866 g/cm³
SG = Fd-3m (227)
Total DFT energy (no corrections) = -9.03 eV per atom
Total magnetic moment = 0.0000 μB/atom
N(E_F) = 0.1809 states/eV/atom

```
TaNb2H
1.0
0.000 3.956 3.956
3.956 0.000 3.956
3.956 3.956 0.000
Ta Nb H
2 4 2
Direct
0.125 0.125 0.125
0.875 0.875 0.875
0.000 0.500 0.500
0.500 0.000 0.500
0.500 0.500 0.000
0.500 0.500 0.500
0.375 0.375 0.375
0.625 0.625 0.625
```


# 11
Computed, not measured: TaNb2H2 after structural relaxation at the PBEsol level of DFT.

## Properties
Calculated density = 10.475 g/cm³
SG = I4/mmm (139)
Total DFT energy (no corrections) = -8.37 eV per atom
Total magnetic moment = 0.0000 μB/atom
N(E_F) = 0.4020 states/eV/atom

```
TaNb2H2
1.0
-1.685 1.685 5.149
1.685 -1.685 5.149
1.685 1.685 -5.149
Ta Nb H
1 2 2
Direct
0.000 0.000 0.000
0.344 0.344 0.000
0.656 0.656 0.000
0.250 0.750 0.500
0.750 0.250 0.500
```


# 12
Computed, not measured: Nb2TcH2 after structural relaxation at the PBEsol level of DFT.

## Properties
Calculated density = 8.549 g/cm³
SG = I4/mmm (139)
Total DFT energy (no corrections) = -8.12 eV per atom
Total magnetic moment = 0.0000 μB/atom
N(E_F) = 0.4523 states/eV/atom

```
Nb2TcH2
1.0
-1.540 1.540 5.853
1.540 -1.540 5.853
1.540 1.540 -5.853
Nb Tc H
2 1 2
Direct
0.138 0.138 0.000
0.862 0.862 0.000
0.500 0.500 0.000
0.250 0.750 0.500
0.750 0.250 0.500
```


# 13
Computed, not measured: NbTeH3 after structural relaxation at the PBEsol level of DFT.

## Properties
Calculated density = 7.005 g/cm³
SG = Pm-3m (221)
Total DFT energy (no corrections) = -4.59 eV per atom
Total magnetic moment = 0.0000 μB/atom
N(E_F) = 0.2873 states/eV/atom

```
NbTeH3
1.0
3.756 0.000 0.000
0.000 3.756 0.000
0.000 0.000 3.756
Nb Te H
1 1 3
Direct
0.000 0.000 0.000
0.500 0.500 0.500
0.000 0.000 0.500
0.000 0.500 0.000
0.500 0.000 0.000
```


# 14
Computed, not measured: Nb3TeH after structural relaxation at the PBEsol level of DFT.

## Properties
Calculated density = 9.029 g/cm³
SG = Pm-3m (221)
Total DFT energy (no corrections) = -7.88 eV per atom
Total magnetic moment = 0.0000 μB/atom
N(E_F) = 1.0326 states/eV/atom

```
Nb3TeH
1.0
4.215 0.000 0.000
0.000 4.215 0.000
0.000 0.000 4.215
Nb Te H
3 1 1
Direct
0.000 0.000 0.500
0.000 0.500 0.000
0.500 0.000 0.000
0.500 0.500 0.500
0.000 0.000 0.000
```


# 15
Computed, not measured: TiNbH3 after structural relaxation at the PBEsol level of DFT.

## Properties
Calculated density = 5.424 g/cm³
SG = Pm-3m (221)
Total DFT energy (no corrections) = -5.87 eV per atom
Total magnetic moment = 0.0001 μB/atom
N(E_F) = 0.3290 states/eV/atom

```
TiNbH3
1.0
3.531 0.000 0.000
0.000 3.531 0.000
0.000 0.000 3.531
Ti Nb H
1 1 3
Direct
0.000 0.000 0.000
0.500 0.500 0.500
0.000 0.500 0.500
0.500 0.000 0.500
0.500 0.500 0.000
```


# 16
Computed, not measured: TiNbH2 after structural relaxation at the PBEsol level of DFT.

## Properties
Calculated density = 6.084 g/cm³
SG = I-42d (122)
Total DFT energy (no corrections) = -6.77 eV per atom
Total magnetic moment = 0.0000 μB/atom
N(E_F) = 0.5270 states/eV/atom

```
TiNbH2
1.0
-2.401 2.401 3.380
2.401 -2.401 3.380
2.401 2.401 -3.380
Ti Nb H
2 2 4
Direct
0.000 0.000 0.000
0.750 0.250 0.500
0.250 0.750 0.500
0.500 0.500 0.000
0.115 0.125 0.490
0.375 0.885 0.010
0.635 0.625 0.510
0.875 0.365 0.990
```


# 17
Computed, not measured: Ti2NbH after structural relaxation at the PBEsol level of DFT.

## Properties
Calculated density = 5.552 g/cm³
SG = Fm-3m (225)
Total DFT energy (no corrections) = -7.05 eV per atom
Total magnetic moment = 0.0000 μB/atom
N(E_F) = 0.7030 states/eV/atom

```
Ti2NbH
1.0
0.000 3.049 3.049
3.049 0.000 3.049
3.049 3.049 0.000
Ti Nb H
2 1 1
Direct
0.250 0.250 0.250
0.750 0.750 0.750
0.000 0.000 0.000
0.500 0.500 0.500
```


# 18
Computed, not measured: TiNb3H after structural relaxation at the PBEsol level of DFT.

## Properties
Calculated density = 7.439 g/cm³
SG = Pm-3m (221)
Total DFT energy (no corrections) = -8.73 eV per atom
Total magnetic moment = 0.0001 μB/atom
N(E_F) = 1.2364 states/eV/atom

```
TiNb3H
1.0
4.182 0.000 0.000
0.000 4.182 0.000
0.000 0.000 4.182
Ti Nb H
1 3 1
Direct
0.000 0.000 0.000
0.000 0.500 0.500
0.500 0.000 0.500
0.500 0.500 0.000
0.500 0.500 0.500
```


# 19
Computed, not measured: Ti2NbH2 after structural relaxation at the PBEsol level of DFT.

## Properties
Calculated density = 5.859 g/cm³
SG = I4/mmm (139)
Total DFT energy (no corrections) = -7.08 eV per atom
Total magnetic moment = 0.0002 μB/atom
N(E_F) = 0.9871 states/eV/atom

```
Ti2NbH2
1.0
-1.632 1.632 5.069
1.632 -1.632 5.069
1.632 1.632 -5.069
Ti Nb H
2 1 2
Direct
0.153 0.153 0.000
0.847 0.847 0.000
0.500 0.500 0.000
0.250 0.750 0.500
0.750 0.250 0.500
```


# 20
Computed, not measured: Nb3VH after structural relaxation at the PBEsol level of DFT.

## Properties
Calculated density = 7.771 g/cm³
SG = Pm-3m (221)
Total DFT energy (no corrections) = -8.88 eV per atom
Total magnetic moment = 0.0003 μB/atom
N(E_F) = 1.3248 states/eV/atom

```
Nb3VH
1.0
4.134 0.000 0.000
0.000 4.134 0.000
0.000 0.000 4.134
Nb V H
3 1 1
Direct
0.000 0.000 0.500
0.000 0.500 0.000
0.500 0.000 0.000
0.500 0.500 0.500
0.000 0.000 0.000
```